VASP calculation (PBEsol) on crystalline BaCd2Co at its relaxed geometry.

a b c (Å): 4.880 5.275 5.275
angles (deg): 65.12 62.45 62.45
Atoms (fractional coordinates):
Co 0.409 0.591 0.591
Ba 0.255 0.245 0.245
Cd 0.052 0.948 0.948
Cd 0.784 0.716 0.716

Output
Formation energy from the elements: 0.33 eV per atom
Density of states at the Fermi level: 5.7 states/eV per cell
Size of the total moment: 0.98 μB per formula unit